Entry 1:
This record from Alexandria via LeMat-Bulk describes a relaxed Nd4HoZn crystal. The functional is GGA-PBE.

Computed properties:
energy relative to the elements	-0.092	eV per atom
space-group type	No. 123
energy relative to the lowest polymorph listed for this composition	0.000	eV per atom
total energy	-4.25	eV/atom

The structure in POSCAR format:
```
Nd4HoZn
1.0
-1.3215 -0.9807 -3.2746
-1.0953 -3.2042 1.4016
-12.3282 5.6501 3.2831
Ho Nd Zn
1 4 1
Cartesian
0.0000 0.0000 0.0000 Ho
-3.4205 -1.0787 -0.3474 Nd
-4.5360 2.0789 1.2080 Nd
-7.7922 3.5712 2.0751 Nd
-11.3246 2.5438 1.7575 Nd
-7.3725 0.7326 0.7050 Zn
```

Entry 2:
This record from Alexandria via LeMat-Bulk describes a relaxed NdHo6Zn2 crystal. The functional is GGA-PBE.

Computed properties:
energy relative to the elements	0.256	eV per atom
space-group type	No. 139
energy relative to the lowest polymorph listed for this composition	0.395	eV per atom
total energy	-3.61	eV/atom

The structure in POSCAR format:
```
NdHo6Zn2
1.0
-1.7314 3.4630 2.7962
2.1484 -1.9775 3.7793
10.1690 6.2533 -5.5263
Zn Ho Nd
2 6 1
Cartesian
3.9285 3.2506 2.4853 Zn
6.6575 4.4882 -1.4361 Zn
4.3231 5.2295 0.2788 Ho
1.4254 3.2760 0.9039 Ho
7.2207 7.1830 -0.3463 Ho
3.3653 0.5558 1.3954 Ho
6.2630 2.5093 0.7703 Ho
9.1606 4.4628 0.1452 Ho
0.0000 0.0000 0.0000 Nd
```

Entry 3:
This record from Alexandria via LeMat-Bulk describes a relaxed NdHo3Zn2 crystal. The functional is GGA-PBE.

Computed properties:
energy relative to the elements	-0.231	eV per atom
space-group type	No. 123
total energy	-3.74	eV/atom

The structure in POSCAR format:
```
NdHo3Zn2
1.0
-1.9746 -2.5903 1.4388
1.6895 0.4361 3.1038
-8.4022 8.2978 3.4076
Nd Zn Ho
1 2 3
Cartesian
-4.3436 3.0718 3.9751 Nd
-7.3467 6.0375 5.1930 Zn
-1.3406 0.1061 2.7572 Zn
-5.9963 5.9218 2.4319 Ho
0.0000 0.0000 0.0000 Ho
-2.4059 2.3760 0.9757 Ho
```

Entry 4:
This record from Alexandria via LeMat-Bulk describes a relaxed Nd2HoZn3 crystal. The functional is GGA-PBE.

Computed properties:
energy relative to the elements	-0.314	eV per atom
space-group type	No. 123
total energy	-3.30	eV/atom

The structure in POSCAR format:
```
Nd2HoZn3
1.0
3.6298 0.0000 0.0000
0.0000 3.6298 0.0000
0.0000 0.0000 10.9954
Nd Zn Ho
2 3 1
Cartesian
1.8149 1.8149 9.1120 Nd
1.8149 1.8149 1.8834 Nd
0.0000 0.0000 7.1797 Zn
0.0000 0.0000 0.0000 Zn
0.0000 0.0000 3.8157 Zn
1.8149 1.8149 5.4977 Ho
```

Entry 5:
This record from Alexandria via LeMat-Bulk describes a relaxed Nd6HoZn crystal. The functional is GGA-PBE.

Computed properties:
energy relative to the elements	0.026	eV per atom
space-group type	No. 2
total energy	-4.28	eV/atom

The structure in POSCAR format:
```
Nd6HoZn
1.0
-2.8655 9.0485 -0.9609
-7.9889 2.2497 -2.2613
-4.2828 3.9598 2.6978
Nd Ho Zn
6 1 1
Cartesian
-6.8080 4.4031 1.0533 Nd
-8.3292 10.8548 -1.5776 Nd
-12.8425 11.8614 -0.9814 Nd
-4.1475 6.2976 -0.7000 Nd
-10.9897 8.9603 0.1756 Nd
-2.2947 3.3965 0.4570 Nd
-7.5686 7.6290 -0.2622 Ho
0.0000 0.0000 0.0000 Zn
```

Entry 6:
This record from Alexandria via LeMat-Bulk describes a relaxed Nd3HoZn8 crystal. The functional is GGA-PBE.

Computed properties:
energy relative to the elements	-0.320	eV per atom
space-group type	No. 160
energy relative to the lowest polymorph listed for this composition	0.000	eV per atom
total energy	-2.74	eV/atom

The structure in POSCAR format:
```
Nd3HoZn8
1.0
-2.5114 -4.3627 -2.3519
2.7585 -4.7802 -0.6417
-2.7697 -5.7835 7.1227
Zn Nd Ho
8 3 1
Cartesian
-2.4245 -11.7057 4.6134 Zn
-3.0336 -10.1542 2.3856 Zn
-1.6633 -12.5286 2.0668 Zn
-1.6702 -7.2719 -1.1190 Zn
-1.1663 -4.2454 2.5575 Zn
-0.4158 -10.3615 3.2351 Zn
0.9516 -7.4796 -0.2681 Zn
-0.4208 -5.1014 0.0511 Zn
-2.7662 -5.7802 7.1129 Nd
-1.2666 -7.4683 2.0796 Nd
-2.3351 -8.4933 5.1221 Nd
-0.8166 -10.1633 0.0351 Ho
```

Q: Which formula does entry 4 have?
A: Nd2HoZn3

Q: What is the total energy in the third record?
A: -3.74 eV/atom